# 1
TaMn3Sb: relaxed, GGA-PBE.

Calculated values
E ... -7.5072 eV per atom
Fermi-level density of states ... 1.276 states/eV per atom
Distance to the lowest polymorph of the same formula ... 0 meV/atom
Calculated density ... 7.45 g cm⁻³
Formation energy without anion corrections ... 1.1895 eV/atom

Structure (CIF):
```
data_TaMn3Sb
_symmetry_space_group_name_H-M 'P m -3 m'
_symmetry_Int_Tables_number 221
_symmetry_space_group_name_Hall '-P 4 2 3'
_cell_length_a 4.7050
_cell_length_b 4.7050
_cell_length_c 4.7050
_cell_angle_alpha 90.00
_cell_angle_beta 90.00
_cell_angle_gamma 90.00
loop_
_atom_site_label
_atom_site_type_symbol
_atom_site_fract_x
_atom_site_fract_y
_atom_site_fract_z
_atom_site_occupancy
Ta1 Ta 0.0000 0.0000 0.0000 1
Mn1 Mn 0.0000 0.0000 0.5000 1
Sb1 Sb 0.5000 0.5000 0.5000 1
```

# 2
BeGa2B: relaxed, GGA-PBE.

Calculated values
Formation energy from the elements ... 83.3 kJ per mole of atoms
E ... -3.2511 eV per atom
Fermi-level density of states ... 0.550 states/eV per atom
Distance to the lowest polymorph of the same formula ... 95 meV/atom
Calculated density ... 5.19 g cm⁻³

Structure (CIF):
```
data_BeGa2B
_symmetry_space_group_name_H-M 'F m -3 m'
_symmetry_Int_Tables_number 225
_symmetry_space_group_name_Hall '-F 4 2 3'
_cell_length_a 5.8842
_cell_length_b 5.8842
_cell_length_c 5.8842
_cell_angle_alpha 90.00
_cell_angle_beta 90.00
_cell_angle_gamma 90.00
loop_
_atom_site_label
_atom_site_type_symbol
_atom_site_fract_x
_atom_site_fract_y
_atom_site_fract_z
_atom_site_occupancy
Be1 Be 0.0000 0.0000 0.0000 1
Ga1 Ga 0.2500 0.2500 0.2500 1
B1 B 0.0000 0.0000 0.5000 1
```

# 3
DyCuPdAu: relaxed, GGA-PBE.

Calculated values
Formation energy from the elements ... -52.3 kJ per mole of atoms
E ... -4.8337 eV per atom
Fermi-level density of states ... 0.373 states/eV per atom
Calculated density ... 11.85 g cm⁻³

Structure (CIF):
```
data_DyCuPdAu
_symmetry_space_group_name_H-M 'F -4 3 m'
_symmetry_Int_Tables_number 216
_symmetry_space_group_name_Hall 'F -4 2 3'
_cell_length_a 6.6709
_cell_length_b 6.6709
_cell_length_c 6.6709
_cell_angle_alpha 90.00
_cell_angle_beta 90.00
_cell_angle_gamma 90.00
loop_
_atom_site_label
_atom_site_type_symbol
_atom_site_fract_x
_atom_site_fract_y
_atom_site_fract_z
_atom_site_occupancy
Dy1 Dy 0.0000 0.0000 0.0000 1
Cu1 Cu 0.0000 0.0000 0.5000 1
Pd1 Pd 0.2500 0.2500 0.2500 1
Au1 Au 0.2500 0.2500 0.7500 1
```